Computed, not measured: BeMoOs2 after structural relaxation at the GGA-PBE level of DFT.

a = 2.692 Å, b = 2.692 Å, c = 8.317 Å
α = 90.00°, β = 90.00°, γ = 115.39°
Positions (direct):
1 Be 0.000 0.000 0.000
2 Mo 0.000 0.000 0.500
3 Os 0.500 0.500 0.225
4 Os 0.500 0.500 0.775

Computed properties:
Energy of formation from the pure elements, meV/atom: 224
Theoretical density, g/cm³: 14.8